i) The following is a DFT calculation (PBE) of a relaxed structure of Ta2MoHRu.

Values from the calculation:
- Crystal system: tetragonal
- Fermi-level density of states: 4.724 states/eV/f.u.

Lattice parameters (Å, degrees): 4.463 4.463 3.445 90.00 90.00 90.00
Space group P4/mmm (No. 123)
Unique sites:
Ta1 0.000 0.500 0.000
Mo1 0.000 0.000 0.500
H1 0.000 0.000 0.000
Ru1 0.500 0.500 0.500

ii) The following is a DFT calculation (PBE) of a relaxed structure of Ta2MoHRu.

Values from the calculation:
- Crystal system: tetragonal
- Fermi-level density of states: 3.286 states/eV/f.u.

Lattice parameters (Å, degrees): 4.462 4.462 3.444 90.00 90.00 90.00
Space group P4/mmm (No. 123)
Unique sites:
Ta1 0.000 0.500 0.000
Mo1 0.000 0.000 0.500
H1 0.500 0.500 0.000
Ru1 0.500 0.500 0.500

Most stable structure, least stable structure: ii), i).

i) The following is a DFT calculation (PBE) of a relaxed structure of TcMoHRu2.

Values from the calculation:
- Crystal system: tetragonal
- Fermi-level density of states: 5.146 states/eV/f.u.

Lattice parameters (Å, degrees): 3.896 3.896 3.968 90.00 90.00 90.00
Space group P4/mmm (No. 123)
Unique sites:
Tc1 0.000 0.000 0.000
Mo1 0.500 0.500 0.000
H1 0.500 0.500 0.500
Ru1 0.000 0.500 0.500

ii) The following is a DFT calculation (PBE) of a relaxed structure of TcMoHRu2.

Values from the calculation:
- Crystal system: tetragonal
- Fermi-level density of states: 4.979 states/eV/f.u.

Lattice parameters (Å, degrees): 3.912 3.912 3.930 90.00 90.00 90.00
Space group P4/mmm (No. 123)
Unique sites:
Tc1 0.000 0.000 0.000
Mo1 0.500 0.500 0.000
H1 0.000 0.000 0.500
Ru1 0.000 0.500 0.500

Most stable structure, least stable structure: ii), i).

i) The following is a DFT calculation (PBE) of a relaxed structure of Mo2HS.

Values from the calculation:
- Crystal system: cubic
- Fermi-level density of states: 5.367 states/eV/f.u.

Lattice parameters (Å, degrees): 5.748 5.748 5.748 90.00 90.00 90.00
Space group Fm-3m (No. 225)
Unique sites:
Mo1 0.250 0.250 0.250
H1 0.000 0.000 0.000
S1 0.000 0.000 0.500

ii) The following is a DFT calculation (PBE) of a relaxed structure of Mo2HS.

Values from the calculation:
- Crystal system: tetragonal
- Fermi-level density of states: 7.260 states/eV/f.u.

Lattice parameters (Å, degrees): 4.652 4.652 10.148 90.00 90.00 90.00
Space group I-42d (No. 122)
Unique sites:
Mo1 0.156 0.250 0.125
H1 0.000 0.000 0.000
S1 0.000 0.000 0.500

Most stable structure, least stable structure: ii), i).

i) The following is a DFT calculation (PBE) of a relaxed structure of MoHS3.

Values from the calculation:
- Crystal system: cubic
- Fermi-level density of states: 2.677 states/eV/f.u.

Lattice parameters (Å, degrees): 4.675 4.675 4.675 90.00 90.00 90.00
Space group Pm-3m (No. 221)
Unique sites:
Mo1 0.000 0.000 0.000
H1 0.500 0.500 0.500
S1 0.000 0.000 0.500

ii) The following is a DFT calculation (PBE) of a relaxed structure of MoHS3.

Values from the calculation:
- Crystal system: cubic
- Fermi-level density of states: 3.720 states/eV/f.u.

Lattice parameters (Å, degrees): 4.022 4.022 4.022 90.00 90.00 90.00
Space group Pm-3m (No. 221)
Unique sites:
Mo1 0.000 0.000 0.000
H1 0.500 0.500 0.500
S1 0.000 0.500 0.500

Most stable structure, least stable structure: i), ii).